# ZnCrAs2Se PBE relaxed
# density = 5.24 Mg/m³
# E_form (uncorrected) = 1.2203 eV per atom
# DOS at the Fermi energy = 6.830 states/eV per cell
# calculated total energy = -17.58 eV per cell
data_ZnCrAs2Se
_cell_length_a 4.734
_cell_length_b 4.734
_cell_length_c 4.892
_cell_angle_alpha 90.00
_cell_angle_beta 90.00
_cell_angle_gamma 90.00
_space_group_name_H-M_alt 'P 4/m m m'
_space_group_IT_number 123
_space_group_name_Hall '-P 4 2'
loop_
_atom_site_label
_atom_site_type_symbol
_atom_site_fract_x
_atom_site_fract_y
_atom_site_fract_z
_atom_site_occupancy
Zn1 Zn 0.000 0.000 0.000 1
Cr1 Cr 0.500 0.500 0.500 1
As1 As 0.000 0.500 0.000 1
Se1 Se 0.000 0.000 0.500 1